First-principles (PBE) data for a relaxed structure of Pm3Nd5Ho4, as listed in Alexandria via LeMat-Bulk.

It has space group C2/m (No. 12), with a = 16.305 Å, b = 6.002 Å, c = 9.363 Å, α = 90.00°, β = 116.25° and γ = 90.00°. Symmetry generates all atoms from Pm at (0.000, 0.000, 0.000), Pm at (0.208, 0.500, 0.228), Nd at (0.000, 0.500, 0.000), Nd at (0.076, 0.000, 0.700), Nd at (0.174, 0.000, 0.386), Ho at (0.081, 0.500, 0.441) and Ho at (0.213, 0.500, 0.877).

The value obtained for the calculated volume is 34.24 Å³/atom. For the magnetization, the calculation gives 0.000 μB per cell. The formation energy comes out at 20.9 kJ/mol of atoms.